(1)
A relaxed Rh2WBr crystal, computed with PBE.

Computed properties:
Its total magnetic moment is 0.00 μB/cell. The formation energy (no corrections) is 1.0029 eV/atom. The energy relative to the lowest polymorph listed for this composition comes out at 329 kJ/mol of formula units. The density of states at the Fermi level comes out at 5.3 states/eV per cell.

a = 4.053 Å, b = 4.053 Å, c = 3.894 Å
α = 90.00°, β = 90.00°, γ = 90.00°
Space group P4/mmm (No. 123)
Symmetry-distinct sites (fractional):
1 Rh 0.000 0.500 0.000 x2
2 W 0.000 0.000 0.500 x1
3 Br 0.500 0.500 0.500 x1

(2)
A relaxed Pm5SbP4 crystal, computed with PBE.

Computed properties:
Its total magnetic moment is 0.00 μB/cell. The formation energy (no corrections) is -1.4591 eV/atom. The density of states at the Fermi level comes out at 4.0 states/eV per cell.

a = 13.962 Å, b = 4.184 Å, c = 10.348 Å
α = 90.00°, β = 119.65°, γ = 90.00°
Space group C2/m (No. 12)
Symmetry-distinct sites (fractional):
1 Pm 0.000 0.000 0.000 x2
2 Pm 0.108 0.500 0.390 x4
3 Pm 0.206 0.000 0.813 x4
4 Sb 0.000 0.000 0.500 x2
5 P 0.098 0.500 0.900 x4
6 P 0.202 0.000 0.295 x4

(3)
A relaxed Mn3PdC crystal, computed with PBE.

Computed properties:
Its total magnetic moment is 12.21 μB/cell. The energy relative to the lowest polymorph listed for this composition comes out at 902 kJ/mol of formula units. Its formation energy from the elements is 2.0173 eV/atom. The density of states at the Fermi level comes out at 4.0 states/eV per cell.

a = 4.826 Å, b = 4.826 Å, c = 4.826 Å
α = 90.00°, β = 90.00°, γ = 90.00°
Space group Pm-3m (No. 221)
Symmetry-distinct sites (fractional):
1 Mn 0.000 0.000 0.500 x3
2 Pd 0.000 0.000 0.000 x1
3 C 0.500 0.500 0.500 x1

(4)
A relaxed HoAgHg2 crystal, computed with PBE.

Computed properties:
Its total magnetic moment is 0.00 μB/cell. Its formation energy from the elements is -0.1046 eV/atom. The density of states at the Fermi level comes out at 6.9 states/eV per cell.

a = 3.5971 Å, b = 3.5971 Å, c = 26.3930 Å
α = 90.00°, β = 90.00°, γ = 120.00°
Space group R3m (No. 160, hexagonal axes)
Symmetry-distinct sites (fractional):
1 Ho 0.0000 0.0000 0.0000 x3
2 Ag 0.0000 0.0000 0.1676 x3
3 Hg 0.0000 0.0000 0.4213 x3
4 Hg 0.0000 0.0000 0.5794 x3

(5)
A relaxed KSrPb2 crystal, computed with PBE.

Computed properties:
Its total magnetic moment is 0.00 μB/cell. The energy relative to the lowest polymorph listed for this composition comes out at 40 kJ/mol of formula units. Its formation energy from the elements is -0.2075 eV/atom. The density of states at the Fermi level comes out at 4.1 states/eV per cell.

a = 11.320 Å, b = 3.796 Å, c = 7.720 Å
α = 90.00°, β = 100.68°, γ = 90.00°
Space group C2/m (No. 12)
Symmetry-distinct sites (fractional):
1 K 0.000 0.000 0.000 x2
2 Sr 0.000 0.500 0.500 x2
3 Pb 0.248 0.500 0.316 x4

(6)
A relaxed Tb3PmH crystal, computed with PBE.

Computed properties:
Its total magnetic moment is 0.00 μB/cell. The density of states at the Fermi level comes out at 4.7 states/eV per cell.

a = 5.034 Å, b = 5.034 Å, c = 5.034 Å
α = 90.00°, β = 90.00°, γ = 90.00°
Space group Pm-3m (No. 221)
Symmetry-distinct sites (fractional):
1 Tb 0.000 0.000 0.500 x3
2 Pm 0.500 0.500 0.500 x1
3 H 0.000 0.000 0.000 x1

(7)
A relaxed TlInCo2Sb crystal, computed with PBE.

Computed properties:
Its total magnetic moment is 3.49 μB/cell. The formation energy (no corrections) is 1.1415 eV/atom. The density of states at the Fermi level comes out at 7.8 states/eV per cell.

a = 4.927 Å, b = 4.927 Å, c = 5.567 Å
α = 90.00°, β = 90.00°, γ = 90.00°
Space group P4/mmm (No. 123)
Symmetry-distinct sites (fractional):
1 Tl 0.000 0.000 0.000 x1
2 In 0.500 0.500 0.500 x1
3 Co 0.000 0.500 0.500 x2
4 Sb 0.500 0.500 0.000 x1

(8)
A relaxed Th4BiSe3 crystal, computed with PBE.

Computed properties:
Its total magnetic moment is 0.00 μB/cell. The formation energy (no corrections) is -1.2430 eV/atom. The density of states at the Fermi level comes out at 5.2 states/eV per cell.

a = 4.338 Å, b = 6.116 Å, c = 8.559 Å
α = 90.00°, β = 90.00°, γ = 90.00°
Space group Pmmm (No. 47)
Symmetry-distinct sites (fractional):
1 Th 0.000 0.000 0.000 x1
2 Th 0.000 0.000 0.500 x1
3 Th 0.500 0.500 0.226 x2
4 Bi 0.000 0.500 0.500 x1
5 Se 0.000 0.500 0.000 x1
6 Se 0.500 0.000 0.250 x2

(9)
A relaxed LiAc5Pb3 crystal, computed with PBE.

Computed properties:
Its total magnetic moment is 2.29 μB/cell. Its formation energy from the elements is -0.3794 eV/atom. The density of states at the Fermi level comes out at 18.9 states/eV per cell.

a = 10.2472 Å, b = 10.2472 Å, c = 7.2915 Å
α = 90.00°, β = 90.00°, γ = 120.00°
Space group P6_3/mcm (No. 193)
Symmetry-distinct sites (fractional):
1 Li 0.0000 0.0000 0.0000 x2
2 Ac 0.0000 0.2808 0.2500 x6
3 Ac 0.3333 0.6667 0.0000 x4
4 Pb 0.0000 0.3730 0.7500 x6

(10)
A relaxed SmGdV4 crystal, computed with PBE.

Computed properties:
Its total magnetic moment is 29.13 μB/cell. Its formation energy from the elements is 0.3954 eV/atom. The density of states at the Fermi level comes out at 45.9 states/eV per cell.

a = 7.640 Å, b = 7.640 Å, c = 7.640 Å
α = 90.00°, β = 90.00°, γ = 90.00°
Space group F-43m (No. 216)
Symmetry-distinct sites (fractional):
1 Sm 0.000 0.000 0.000 x4
2 Gd 0.250 0.250 0.750 x4
3 V 0.121 0.121 0.379 x16

(11)
A relaxed Al3TlSn2S8 crystal, computed with PBE.

Computed properties:
Its total magnetic moment is 0.00 μB/cell. The formation energy (no corrections) is -0.6374 eV/atom. The density of states at the Fermi level comes out at 16.1 states/eV per cell.

a = 7.3434 Å, b = 7.3434 Å, c = 20.7411 Å
α = 90.00°, β = 90.00°, γ = 120.00°
Space group R3m (No. 160, hexagonal axes)
Symmetry-distinct sites (fractional):
1 Al 0.0025 0.5012 0.0000 x9
2 Tl 0.0000 0.0000 0.8655 x3
3 Sn 0.0000 0.0000 0.1209 x3
4 Sn 0.0000 0.0000 0.5113 x3
5 S 0.0000 0.0000 0.2749 x3
6 S 0.0000 0.0000 0.7263 x3
7 S 0.0278 0.5139 0.2694 x9
8 S 0.1805 0.3610 0.0659 x9

(12)
A relaxed Ce2PrThSe5 crystal, computed with PBE.

Computed properties:
Its total magnetic moment is 3.68 μB/cell. The formation energy (no corrections) is -1.1058 eV/atom. The density of states at the Fermi level comes out at 22.4 states/eV per cell.

a = 5.348 Å, b = 5.348 Å, c = 11.149 Å
α = 90.00°, β = 90.00°, γ = 90.00°
Space group P4/mmm (No. 123)
Symmetry-distinct sites (fractional):
1 Ce 0.000 0.000 0.216 x2
2 Pr 0.500 0.500 0.500 x1
3 Th 0.500 0.500 0.000 x1
4 Se 0.000 0.000 0.500 x1
5 Se 0.000 0.500 0.000 x2
6 Se 0.500 0.500 0.253 x2

(13)
A relaxed LiMgP crystal, computed with PBE.

Computed properties:
Its total magnetic moment is 0.00 μB/cell. Its formation energy from the elements is -0.3712 eV/atom. The density of states at the Fermi level comes out at 1.4 states/eV per cell.

a = 3.676 Å, b = 3.676 Å, c = 7.437 Å
α = 90.00°, β = 90.00°, γ = 90.00°
Space group I4mm (No. 107)
Symmetry-distinct sites (fractional):
1 Li 0.000 0.000 0.000 x2
2 Mg 0.000 0.000 0.674 x2
3 P 0.000 0.000 0.323 x2

(14)
A relaxed Re2SiP crystal, computed with PBE.

Computed properties:
Its total magnetic moment is 0.00 μB/cell. The formation energy (no corrections) is 0.2599 eV/atom. The energy relative to the lowest polymorph listed for this composition comes out at 182 kJ/mol of formula units. The density of states at the Fermi level comes out at 4.8 states/eV per cell.

a = 2.936 Å, b = 4.939 Å, c = 7.880 Å
α = 90.00°, β = 90.00°, γ = 90.00°
Space group Immm (No. 71)
Symmetry-distinct sites (fractional):
1 Re 0.000 0.000 0.232 x4
2 Si 0.000 0.500 0.000 x2
3 P 0.000 0.500 0.500 x2

(15)
A relaxed SrDy4Bi5 crystal, computed with PBE.

Computed properties:
Its total magnetic moment is 0.00 μB/cell. Its formation energy from the elements is -0.8152 eV/atom. The density of states at the Fermi level comes out at 6.7 states/eV per cell.

a = 4.511 Å, b = 6.433 Å, c = 22.873 Å
α = 90.00°, β = 90.00°, γ = 90.00°
Space group Immm (No. 71)
Symmetry-distinct sites (fractional):
1 Sr 0.000 0.000 0.000 x2
2 Dy 0.000 0.000 0.203 x4
3 Dy 0.000 0.000 0.401 x4
4 Bi 0.000 0.500 0.000 x2
5 Bi 0.000 0.500 0.198 x4
6 Bi 0.000 0.500 0.391 x4

(16)
A relaxed B2C crystal, computed with PBE.

Computed properties:
Its total magnetic moment is 0.00 μB/cell. The energy relative to the lowest polymorph listed for this composition comes out at 70 kJ/mol of formula units. Its formation energy from the elements is 0.4260 eV/atom. The density of states at the Fermi level comes out at 4.3 states/eV per cell.

a = 13.206 Å, b = 2.380 Å, c = 5.234 Å
α = 90.00°, β = 96.41°, γ = 90.00°
Space group C2/m (No. 12)
Symmetry-distinct sites (fractional):
1 B 0.001 0.000 0.153 x4
2 B 0.041 0.500 0.379 x4
3 B 0.139 0.000 0.983 x4
4 B 0.194 0.500 0.225 x4
5 C 0.151 0.500 0.531 x4
6 C 0.181 0.000 0.686 x4

(17)
A relaxed KMn3 crystal, computed with PBE.

Computed properties:
Its total magnetic moment is 10.53 μB/cell. The energy relative to the lowest polymorph listed for this composition comes out at 28 kJ/mol of formula units. Its formation energy from the elements is 0.7794 eV/atom. The density of states at the Fermi level comes out at 8.5 states/eV per cell.

a = 7.764 Å, b = 2.836 Å, c = 7.724 Å
α = 90.00°, β = 93.79°, γ = 90.00°
Space group C2/m (No. 12)
Symmetry-distinct sites (fractional):
1 K 0.000 0.000 0.000 x2
2 Mn 0.000 0.500 0.500 x2
3 Mn 0.231 0.000 0.645 x4

(18)
A relaxed CaSc2Ti2 crystal, computed with PBE.

Computed properties:
Its total magnetic moment is 0.00 μB/cell. The energy relative to the lowest polymorph listed for this composition comes out at 30 kJ/mol of formula units. Its formation energy from the elements is 0.2718 eV/atom. The density of states at the Fermi level comes out at 17.1 states/eV per cell.

a = 8.560 Å, b = 8.560 Å, c = 3.192 Å
α = 90.00°, β = 90.00°, γ = 90.00°
Space group P4/mbm (No. 127)
Symmetry-distinct sites (fractional):
1 Ca 0.000 0.000 0.000 x2
2 Sc 0.125 0.375 0.000 x4
3 Ti 0.168 0.668 0.500 x4

(19)
A relaxed Ru2PtCl crystal, computed with PBE.

Computed properties:
Its total magnetic moment is 0.00 μB/cell. The formation energy (no corrections) is 0.6012 eV/atom. The energy relative to the lowest polymorph listed for this composition comes out at 121 kJ/mol of formula units. The density of states at the Fermi level comes out at 12.0 states/eV per cell.

a = 2.751 Å, b = 4.956 Å, c = 8.914 Å
α = 90.00°, β = 90.00°, γ = 90.00°
Space group Cmmm (No. 65)
Symmetry-distinct sites (fractional):
1 Ru 0.000 0.000 0.238 x4
2 Pt 0.000 0.500 0.500 x2
3 Cl 0.000 0.500 0.000 x2

(20)
A relaxed NaMg14Cu crystal, computed with PBE.

Computed properties:
Its total magnetic moment is 0.00 μB/cell. The energy relative to the lowest polymorph listed for this composition comes out at 0 kJ/mol of formula units. Its formation energy from the elements is 0.0307 eV/atom. The density of states at the Fermi level comes out at 3.8 states/eV per cell.

a = 6.2994 Å, b = 6.2994 Å, c = 10.3720 Å
α = 90.00°, β = 90.00°, γ = 120.00°
Space group P-6m2 (No. 187)
Symmetry-distinct sites (fractional):
1 Na 0.0000 0.0000 0.0000 x1
2 Mg 0.0049 0.5025 0.0000 x3
3 Mg 0.1640 0.3280 0.2633 x6
4 Mg 0.5027 0.0055 0.5000 x3
5 Mg 0.6667 0.3333 0.2445 x2
6 Cu 0.0000 0.0000 0.5000 x1

| no. | VASP energy (eV/atom) |
| --- | --- |
| 1 | -6.329 |
| 2 | -6.411 |
| 3 | -6.368 |
| 4 | -2.113 |
| 5 | -2.756 |
| 6 | -4.571 |
| 7 | -3.546 |
| 8 | -6.745 |
| 9 | -4.111 |
| 10 | -8.817 |
| 11 | -4.539 |
| 12 | -5.716 |
| 13 | -3.344 |
| 14 | -8.672 |
| 15 | -4.765 |
| 16 | -7.100 |
| 17 | -6.372 |
| 18 | -5.819 |
| 19 | -6.009 |
| 20 | -1.703 |